PBE TbSmHo, optimized geometry; calculated density = 8.2 g/cm3; ΔE_f = 0.02 eV/atom; space group = I4mm; E = -27.7 eV for the cell shown; M_tot = 0.000 μB/f.u.; N(E_F) = 1.305 states/eV/atom
1.0
3.5683 0.0000 0.0000
0.0000 3.5683 0.0000
0.0000 0.0000 15.1638
Tb Sm Ho
2 2 2
Cartesian
0.0000 0.0000 0.0000
1.7841 1.7841 7.5819
0.0000 0.0000 10.1351
1.7841 1.7841 2.5532
0.0000 0.0000 5.0866
1.7841 1.7841 12.6685